{"formula": "Rb3AlBr", "functional": "PBEsol", "state": "relaxed", "lattice_angstrom": [[6.703, 0.000, 0.000], [0.000, 6.703, 0.000], [0.000, 0.000, 6.703]], "species": ["Rb", "Rb", "Rb", "Al", "Br"], "frac_coords": [[0.000, 0.000, 0.500], [0.000, 0.500, 0.000], [0.500, 0.000, 0.000], [0.000, 0.000, 0.000], [0.500, 0.500, 0.500]], "total_energy_ev_per_cell": -9.35, "space_group": "Pm-3m, No. 221"}